Entry 1:
## Na2LiPb (PBE)

Data for Na2LiPb after structural relaxation.

```
4
Lattice="3.5194 0.0103 0.0259 1.7686 3.0427 0.0259 1.8441 1.0647 11.0447" Properties=species:S:1:pos:R:3 pbc="T T T"
Na 1.8030 1.0409 8.2810
Na 1.8131 1.0468 2.7824
Li 5.3668 3.0985 11.0763
Pb 3.5593 2.0550 5.5497
```

V, A^3/atom: 29.470
DFT formation energy, eV/atom: -0.018
ΔE to the lowest computed polymorph, meV per atom: 141

---

Entry 2:
## Na2Li4Pb3 (PBE)

Data for Na2Li4Pb3 after structural relaxation.

```
9
Lattice="-4.9757 -0.8366 0.6544 -2.7762 -1.9366 -3.8041 1.8211 -8.4947 2.9840" Properties=species:S:1:pos:R:3 pbc="T T T"
Na -1.1502 -7.6170 1.2942
Na -4.7806 -3.6509 -1.4599
Li -3.5233 -9.5226 0.5925
Li -2.1693 -4.7604 -2.8011
Li -3.7616 -6.5074 2.6353
Li -2.4075 -1.7453 -0.7582
Pb -1.8174 -4.4971 0.2094
Pb 0.0000 0.0000 0.0000
Pb -4.1134 -6.7707 -0.3751
```

V, A^3/atom: 22.905
DFT formation energy, eV/atom: -0.225
ΔE to the lowest computed polymorph, meV per atom: 0

---

Entry 3:
## NaLiPb14 (PBE)

Data for NaLiPb14 after structural relaxation.

```
16
Lattice="8.3687 -0.0190 0.0000 0.0166 8.3687 0.0000 0.0000 0.0000 7.0203" Properties=species:S:1:pos:R:3 pbc="T T T"
Na 7.3371 7.3059 3.5101
Li 3.1442 3.1309 3.5101
Pb 7.3371 7.3060 0.0000
Pb 3.1444 3.1311 0.0000
Pb 7.3289 3.1217 3.5101
Pb 7.3288 3.1216 0.0000
Pb 3.1529 7.3156 3.5101
Pb 3.1528 7.3155 0.0000
Pb 5.1840 1.0830 1.7496
Pb 5.1840 1.0830 5.2707
Pb 1.1050 5.1793 1.7496
Pb 1.1050 5.1793 5.2707
Pb 5.1920 5.1700 1.7494
Pb 5.1920 5.1700 5.2708
Pb 1.0970 1.0924 1.7497
Pb 1.0970 1.0924 5.2706
```

V, A^3/atom: 30.729
DFT formation energy, eV/atom: -0.021

---

Entry 4:
## NaLiPb (PBE)

Data for NaLiPb after structural relaxation.

```
3
Lattice="-1.1223 -0.8885 4.6502 3.0686 -2.5304 2.8025 2.4463 2.2349 3.5628" Properties=species:S:1:pos:R:3 pbc="T T T"
Pb 0.0000 0.0000 0.0000
Na 2.1963 -0.5920 5.5077
Li 1.0982 -0.2960 2.7539
```

V, A^3/atom: 27.148
DFT formation energy, eV/atom: 0.030
ΔE to the lowest computed polymorph, meV per atom: 249

---

Entry 5:
## Na4LiPb15 (PBE)

Data for Na4LiPb15 after structural relaxation.

```
20
Lattice="-1.5650 3.6416 -2.9807 2.1999 -2.2107 -3.8559 -20.1985 -12.3275 -4.4559" Properties=species:S:1:pos:R:3 pbc="T T T"
Na -3.9747 -2.4259 -0.8769
Na -8.0615 -4.9201 -1.7784
Na -12.1369 -7.4074 -2.6775
Na -16.2238 -9.9017 -3.5791
Li 0.0000 0.0000 0.0000
Pb 0.3175 0.7154 -3.4183
Pb -3.6626 -1.7137 -4.2963
Pb -7.7399 -4.2022 -5.1958
Pb -11.8236 -6.6946 -6.0967
Pb -15.9009 -9.1830 -6.9962
Pb -2.7177 0.6397 -1.9173
Pb -6.7998 -1.8517 -2.8178
Pb -10.8817 -4.3430 -3.7183
Pb -14.9636 -6.8342 -4.6188
Pb -19.0457 -9.3257 -5.5194
Pb -0.8353 -2.2865 -2.3549
Pb -4.9174 -4.7779 -3.2554
Pb -8.9993 -7.2691 -4.1559
Pb -13.0812 -9.7604 -5.0564
Pb -17.1633 -12.2518 -5.9570
```

V, A^3/atom: 29.611
DFT formation energy, eV/atom: -0.124

---

Entry 6:
## NaLi3Pb3 (PBE)

Data for NaLi3Pb3 after structural relaxation.

```
14
Lattice="7.6046 0.0000 0.0000 0.0000 7.6046 0.0000 0.0000 0.0000 7.6046" Properties=species:S:1:pos:R:3 pbc="T T T"
Pb 1.9012 0.0000 3.8023
Pb 0.0000 3.8023 1.9012
Pb 3.8023 5.7035 0.0000
Pb 5.7035 0.0000 3.8023
Pb 0.0000 3.8023 5.7035
Pb 3.8023 1.9012 0.0000
Na 3.8023 3.8023 3.8023
Na 0.0000 0.0000 0.0000
Li 0.0000 1.9012 3.8023
Li 0.0000 5.7035 3.8023
Li 3.8023 0.0000 5.7035
Li 5.7035 3.8023 0.0000
Li 3.8023 0.0000 1.9012
Li 1.9012 3.8023 0.0000
```

V, A^3/atom: 31.413
DFT formation energy, eV/atom: 0.221
ΔE to the lowest computed polymorph, meV per atom: 412

---

Entry 7:
## Na4Li2Pb3 (PBE)

Data for Na4Li2Pb3 after structural relaxation.

```
9
Lattice="-5.0272 -0.9183 -1.9845 -2.4223 -5.4058 1.0591 -3.1481 0.8301 7.7540" Properties=species:S:1:pos:R:3 pbc="T T T"
Na -2.5447 -2.0016 -0.2001
Na -6.0493 -1.7565 1.0770
Na -4.5483 -3.7375 5.7517
Na -8.0529 -3.4924 7.0288
Li -7.1204 -2.3569 4.0447
Li -3.4772 -3.1371 2.7840
Pb -6.0735 -4.7799 2.5434
Pb 0.0000 0.0000 0.0000
Pb -4.5241 -0.7141 4.2853
```

V, A^3/atom: 26.524
DFT formation energy, eV/atom: -0.162

---

Entry 8:
## Na8LiPb6 (PBE)

Data for Na8LiPb6 after structural relaxation.

```
15
Lattice="9.1750 0.0000 0.0000 4.5875 7.9458 0.0000 4.5875 2.6486 6.6245" Properties=species:S:1:pos:R:3 pbc="T T T"
Na 7.4978 2.7334 2.4145
Na 10.5567 2.5627 4.2101
Na 6.1160 5.4678 4.2101
Na 9.1750 5.2972 0.1054
Na 9.1750 5.2972 6.5191
Na 12.2340 5.1266 2.4145
Na 7.7933 8.0317 2.4145
Na 10.8523 7.8611 4.2101
Li 0.0000 0.0000 0.0000
Pb 7.4843 2.6553 5.7967
Pb 10.6176 2.5120 0.8279
Pb 6.0417 5.4405 0.8279
Pb 12.3083 5.1539 5.7967
Pb 7.7325 8.0824 5.7967
Pb 10.8658 7.9391 0.8279
```

V, A^3/atom: 32.197
DFT formation energy, eV/atom: -0.109